No. 1
VASP calculation (GGA-PBE) on a geometry-optimized AgSnPd2 structure.

Values from the calculation:
**Raw total energy**: -4.43 eV/atom

a b c (Å): 5.903 5.903 5.903
angles (deg): 103.18 103.18 122.95
Positions (direct):
Ag (0.000, 0.000, 0.000)
Ag (0.750, 0.250, 0.500)
Sn (0.250, 0.750, 0.500)
Sn (0.500, 0.500, 0.000)
Pd (0.138, 0.625, 0.013)
Pd (0.375, 0.388, 0.513)
Pd (0.612, 0.125, 0.987)
Pd (0.875, 0.862, 0.487)

No. 2
VASP calculation (GGA-PBE) on a geometry-optimized Ag2SnPd6 structure.

Values from the calculation:
**Raw total energy**: -4.75 eV/atom

a b c (Å): 4.474 4.474 8.323
angles (deg): 95.74 95.74 63.79
Positions (direct):
Ag (0.167, 0.167, 0.440)
Ag (0.833, 0.833, 0.560)
Sn (0.500, 0.500, 0.000)
Pd (0.167, 0.167, 0.772)
Pd (0.168, 0.168, 0.104)
Pd (0.499, 0.499, 0.327)
Pd (0.501, 0.501, 0.673)
Pd (0.832, 0.832, 0.896)
Pd (0.833, 0.833, 0.228)

No. 3
VASP calculation (GGA-PBE) on a geometry-optimized Ag3SnPd6 structure.

Values from the calculation:
**Raw total energy**: -4.39 eV/atom

a b c (Å): 7.038 6.899 10.110
angles (deg): 90.00 133.82 90.00
Positions (direct):
Ag (0.000, 0.000, 0.000)
Ag (0.000, 0.500, 0.500)
Ag (0.168, 0.189, 0.743)
Ag (0.168, 0.311, 0.243)
Ag (0.832, 0.689, 0.757)
Ag (0.832, 0.811, 0.257)
Sn (0.500, 0.000, 0.500)
Sn (0.500, 0.500, 0.000)
Pd (0.100, 0.133, 0.448)
Pd (0.100, 0.367, 0.948)
Pd (0.314, 0.643, 0.447)
Pd (0.314, 0.857, 0.947)
Pd (0.455, 0.629, 0.245)
Pd (0.455, 0.871, 0.745)
Pd (0.545, 0.129, 0.255)
Pd (0.545, 0.371, 0.755)
Pd (0.686, 0.143, 0.053)
Pd (0.686, 0.357, 0.553)
Pd (0.900, 0.633, 0.052)
Pd (0.900, 0.867, 0.552)

No. 4
VASP calculation (GGA-PBE) on a geometry-optimized Ag5SnPd8 structure.

Values from the calculation:
**Raw total energy**: -4.26 eV/atom

a b c (Å): 6.849 6.849 6.849
angles (deg): 109.16 109.16 110.10
Positions (direct):
Ag (0.000, 0.000, 0.000)
Ag (0.301, 0.212, 0.701)
Ag (0.401, 0.699, 0.912)
Ag (0.511, 0.599, 0.299)
Ag (0.788, 0.489, 0.088)
Sn (0.750, 0.250, 0.500)
Pd (0.024, 0.743, 0.601)
Pd (0.053, 0.367, 0.921)
Pd (0.142, 0.424, 0.399)
Pd (0.257, 0.858, 0.281)
Pd (0.446, 0.132, 0.079)
Pd (0.576, 0.976, 0.719)
Pd (0.633, 0.554, 0.686)
Pd (0.868, 0.947, 0.314)

No. 5
VASP calculation (GGA-PBE) on a geometry-optimized Ag2SnPd structure.

Values from the calculation:
**Raw total energy**: -3.44 eV/atom

a b c (Å): 10.563 10.563 10.563
angles (deg): 16.34 16.34 16.34
Positions (direct):
Ag (0.086, 0.086, 0.086)
Ag (0.914, 0.914, 0.914)
Sn (0.500, 0.500, 0.500)
Pd (0.000, 0.000, 0.000)

No. 6
VASP calculation (GGA-PBE) on a geometry-optimized AgSn4Pd structure.

Values from the calculation:
**Raw total energy**: -4.18 eV/atom

a b c (Å): 4.672 4.672 6.792
angles (deg): 90.00 90.00 90.00
Positions (direct):
Ag (0.000, 0.000, 0.000)
Sn (0.000, 0.500, 0.260)
Sn (0.000, 0.500, 0.740)
Sn (0.500, 0.000, 0.260)
Sn (0.500, 0.000, 0.740)
Pd (0.500, 0.500, 0.500)